# Pa2Zn5Ni

Pa2Zn5Ni after structural relaxation (PBE, Alexandria via LeMat-Bulk).

* calculated density: 9.7 g/cm3
* E_tot: -63.98 eV per cell
* energy of formation: -0.1061 eV per atom

Lattice parameters (Å, degrees): 4.1609 8.1507 8.8203 90.00 90.00 104.79
Last column: nearest neighbours and their distance in Å.
Fractional positions:
Ni 0.5588 0.1175 0.2500  3 Zn 2.43-2.46
Ni 0.4412 0.8825 0.7500  3 Zn 2.43-2.46
Zn 0.8090 0.6181 0.1082  4 Zn 2.47-2.67
Zn 0.1910 0.3819 0.8918  4 Zn 2.47-2.67
Zn 0.3528 0.7056 0.9793  1 Ni 2.46, 4 Zn 2.47-2.67
Zn 0.5957 0.1913 0.7500  1 Ni 2.43, 2 Zn 2.52
Zn 0.4043 0.8087 0.2500  1 Ni 2.43, 2 Zn 2.52
Zn 0.3528 0.7056 0.5207  1 Ni 2.46, 4 Zn 2.47-2.67
Zn 0.8090 0.6181 0.3918  4 Zn 2.47-2.67
Zn 0.1910 0.3819 0.6082  4 Zn 2.47-2.67
Zn 0.6472 0.2944 0.4793  1 Ni 2.46, 4 Zn 2.47-2.67
Zn 0.6472 0.2944 0.0207  1 Ni 2.46, 4 Zn 2.47-2.67
Pa 0.1879 0.3758 0.2500  2 Ni 2.91, 10 Zn 2.97-3.16
Pa 0.0000 0.0000 0.0000  10 Zn 3.12-3.39, 4 Ni 3.17
Pa 0.0000 0.0000 0.5000  10 Zn 3.12-3.39, 4 Ni 3.17
Pa 0.8121 0.6242 0.7500  2 Ni 2.91, 10 Zn 2.97-3.16


# PaZnNi

PaZnNi after structural relaxation (PBE, Alexandria via LeMat-Bulk).

* calculated density: 11.3 g/cm3
* E_tot: -68.98 eV per cell
* energy of formation: -0.2315 eV per atom

Lattice parameters (Å, degrees): 4.3504 6.0237 7.9407 90.00 90.00 90.00
Last column: nearest neighbours and their distance in Å.
Fractional positions:
Ni 0.7500 0.9242 0.1071  4 Zn 2.43-2.56
Ni 0.2500 0.0758 0.8929  4 Zn 2.43-2.56
Ni 0.2500 0.4242 0.3929  4 Zn 2.43-2.56
Ni 0.7500 0.5758 0.6071  4 Zn 2.43-2.56
Pa 0.2500 0.8451 0.5257  3 Ni 2.75-2.79, 2 Pa 2.90, 1 Zn 3.07
Pa 0.2500 0.6549 0.0257  3 Ni 2.75-2.79, 2 Pa 2.90, 1 Zn 3.07
Pa 0.7500 0.3451 0.9743  3 Ni 2.75-2.79, 2 Pa 2.90, 1 Zn 3.07
Pa 0.7500 0.1549 0.4743  3 Ni 2.75-2.79, 2 Pa 2.90, 1 Zn 3.07
Zn 0.2500 0.1146 0.1975  4 Ni 2.43-2.56
Zn 0.7500 0.8854 0.8025  4 Ni 2.43-2.56
Zn 0.2500 0.3854 0.6975  4 Ni 2.43-2.56
Zn 0.7500 0.6146 0.3025  4 Ni 2.43-2.56


# Pa4ZnNi4

Pa4ZnNi4 after structural relaxation (PBE, Alexandria via LeMat-Bulk).

* calculated density: 11.9 g/cm3
* E_tot: -128.17 eV per cell
* energy of formation: -0.1889 eV per atom

Lattice parameters (Å, degrees): 5.2687 8.0581 8.0581 90.00 90.00 90.00
Last column: nearest neighbours and their distance in Å.
Fractional positions:
Pa 0.3398 0.2828 0.9216  4 Ni 2.58-2.83
Pa 0.6602 0.9216 0.7172  4 Ni 2.58-2.83
Pa 0.6602 0.0784 0.2828  4 Ni 2.58-2.83
Pa 0.3398 0.7172 0.0784  4 Ni 2.58-2.83
Pa 0.8398 0.5784 0.7828  4 Ni 2.58-2.83
Pa 0.8398 0.4216 0.2172  4 Ni 2.58-2.83
Pa 0.1602 0.7828 0.4216  4 Ni 2.58-2.83
Pa 0.1602 0.2172 0.5784  4 Ni 2.58-2.83
Ni 0.3288 0.5968 0.7649  1 Zn 2.44, 3 Pa 2.58-2.71, 1 Ni 2.62
Ni 0.6712 0.2351 0.5968  1 Zn 2.44, 3 Pa 2.58-2.71, 1 Ni 2.62
Ni 0.1712 0.0968 0.2649  1 Zn 2.44, 3 Pa 2.58-2.71, 1 Ni 2.62
Ni 0.1712 0.9032 0.7351  1 Zn 2.44, 3 Pa 2.58-2.71, 1 Ni 2.62
Ni 0.8288 0.7351 0.0968  1 Zn 2.44, 3 Pa 2.58-2.71, 1 Ni 2.62
Ni 0.3288 0.4032 0.2351  1 Zn 2.44, 3 Pa 2.58-2.71, 1 Ni 2.62
Ni 0.8288 0.2649 0.9032  1 Zn 2.44, 3 Pa 2.58-2.71, 1 Ni 2.62
Ni 0.6712 0.7649 0.4032  1 Zn 2.44, 3 Pa 2.58-2.71, 1 Ni 2.62
Zn 0.0000 0.0000 0.0000  4 Ni 2.44
Zn 0.5000 0.5000 0.5000  4 Ni 2.44


# PaZn2Ni4

PaZn2Ni4 after structural relaxation (PBE, Alexandria via LeMat-Bulk).

* calculated density: 10.3 g/cm3
* E_tot: -37.75 eV per cell
* energy of formation: -0.3680 eV per atom

Lattice parameters (Å, degrees): 5.0436 5.0499 5.0499 75.56 60.04 60.04
Last column: nearest neighbours and their distance in Å.
Fractional positions:
Ni 0.3025 0.0000 0.3950  4 Ni 2.44-2.68, 4 Zn 2.57, 1 Pa 2.65
Ni 0.3025 0.3950 0.0000  4 Ni 2.44-2.68, 4 Zn 2.57, 1 Pa 2.65
Ni 0.6975 0.6050 0.0000  4 Ni 2.44-2.68, 4 Zn 2.57, 1 Pa 2.65
Ni 0.6975 0.0000 0.6050  4 Ni 2.44-2.68, 4 Zn 2.57, 1 Pa 2.65
Pa 0.0000 0.0000 0.0000  4 Ni 2.65
Zn 0.7500 0.5000 0.5000  2 Zn 2.52, 8 Ni 2.57
Zn 0.2500 0.5000 0.5000  2 Zn 2.52, 8 Ni 2.57


# PaZn2Ni

PaZn2Ni after structural relaxation (PBE, Alexandria via LeMat-Bulk).

* calculated density: 10.2 g/cm3
* E_tot: -37.52 eV per cell
* energy of formation: -0.2337 eV per atom

Lattice parameters (Å, degrees): 3.2972 4.2300 9.9548 90.00 99.53 90.00
Last column: nearest neighbours and their distance in Å.
Fractional positions:
Pa 0.3888 0.2500 0.7776  4 Ni 2.83, 6 Zn 3.11-3.13
Pa 0.6112 0.7500 0.2224  4 Ni 2.83, 6 Zn 3.11-3.13
Zn 0.7534 0.2500 0.5069  4 Ni 2.51-2.75, 4 Zn 2.69
Zn 0.9688 0.7500 0.9375  2 Zn 2.44, 1 Ni 2.48
Zn 0.2466 0.7500 0.4931  4 Ni 2.51-2.75, 4 Zn 2.69
Zn 0.0312 0.2500 0.0625  2 Zn 2.44, 1 Ni 2.48
Ni 0.1573 0.2500 0.3147  5 Zn 2.48-2.75
Ni 0.8427 0.7500 0.6853  5 Zn 2.48-2.75


# Pa2Zn5Ni4

Pa2Zn5Ni4 after structural relaxation (PBE, Alexandria via LeMat-Bulk).

* calculated density: 9.7 g/cm3
* E_tot: -51.27 eV per cell
* energy of formation: -0.2531 eV per atom

Lattice parameters (Å, degrees): 4.9530 4.9874 8.5339 81.72 73.13 60.23
Last column: nearest neighbours and their distance in Å.
Fractional positions:
Ni 0.5244 0.6921 0.2591  5 Zn 2.47-2.59, 1 Ni 2.67
Ni 0.7835 0.6921 0.7409  5 Zn 2.47-2.59, 1 Ni 2.67
Ni 0.2165 0.3079 0.2591  5 Zn 2.47-2.59, 1 Ni 2.67
Ni 0.4756 0.3079 0.7409  5 Zn 2.47-2.59, 1 Ni 2.67
Zn 0.0000 0.5000 0.0000  4 Zn 2.48-2.49, 4 Ni 2.59
Zn 0.2500 0.5000 0.5000  4 Ni 2.47, 2 Zn 2.48
Zn 0.5000 0.5000 0.0000  4 Zn 2.48-2.49, 4 Ni 2.59
Zn 0.5000 0.0000 0.0000  4 Zn 2.49, 4 Ni 2.50
Zn 0.7500 0.5000 0.5000  4 Ni 2.47, 2 Zn 2.48
Pa 0.8655 0.0000 0.2689  6 Ni 2.81-3.00, 4 Zn 3.13
Pa 0.1345 0.0000 0.7311  6 Ni 2.81-3.00, 4 Zn 3.13


# PaZn3Ni8

PaZn3Ni8 after structural relaxation (PBE, Alexandria via LeMat-Bulk).

* calculated density: 9.4 g/cm3
* E_tot: -62.08 eV per cell
* energy of formation: -0.2096 eV per atom

Lattice parameters (Å, degrees): 4.8159 4.8159 7.8527 90.00 90.00 120.00
Last column: nearest neighbours and their distance in Å.
Fractional positions:
Ni 0.1650 0.8350 0.2502  6 Ni 2.38-2.43, 3 Zn 2.62-2.65
Ni 0.5024 0.0048 0.7563  6 Ni 2.37-2.45, 1 Zn 2.66
Ni 0.5024 0.4976 0.7563  6 Ni 2.37-2.45, 1 Zn 2.66
Ni 0.3333 0.6667 0.0024  6 Ni 2.39-2.40
Ni 0.3333 0.6667 0.5010  6 Ni 2.42-2.45
Ni 0.6699 0.8350 0.2502  6 Ni 2.38-2.43, 3 Zn 2.62-2.65
Ni 0.9952 0.4976 0.7563  6 Ni 2.37-2.45, 1 Zn 2.66
Ni 0.1650 0.3301 0.2502  6 Ni 2.38-2.43, 3 Zn 2.62-2.65
Zn 0.6667 0.3333 0.3899  9 Ni 2.65-2.91, 1 Zn 2.70
Zn 0.0000 0.0000 0.9669  12 Ni 2.62-2.92, 3 Zn 2.85
Zn 0.6667 0.3333 0.0463  12 Ni 2.66-2.89, 4 Zn 2.70-2.85
Pa 0.0000 0.0000 0.5740  12 Ni 2.80-2.89, 4 Zn 3.09-3.13


# PaZnNi

PaZnNi after structural relaxation (PBE, Alexandria via LeMat-Bulk).

* calculated density: 11.2 g/cm3
* E_tot: -104.64 eV per cell
* energy of formation: -0.2964 eV per atom

Lattice parameters (Å, degrees): 4.1331 6.6598 11.4420 90.00 90.00 90.00
Last column: nearest neighbours and their distance in Å.
Fractional positions:
Pa 0.0000 0.8814 0.7500  5 Ni 2.71-2.83
Pa 0.0000 0.7450 0.0334  5 Ni 2.82-3.00, 2 Zn 3.03
Pa 0.0000 0.1186 0.2500  5 Ni 2.71-2.83
Pa 0.0000 0.2550 0.5334  5 Ni 2.82-3.00, 2 Zn 3.03
Pa 0.0000 0.7450 0.4666  5 Ni 2.82-3.00, 2 Zn 3.03
Pa 0.0000 0.2550 0.9666  5 Ni 2.82-3.00, 2 Zn 3.03
Zn 0.5000 0.2335 0.7500  4 Ni 2.52-2.54, 2 Zn 2.62
Zn 0.5000 0.4287 0.1319  3 Ni 2.55-2.58, 2 Zn 2.62-2.70
Zn 0.5000 0.4287 0.3681  3 Ni 2.55-2.58, 2 Zn 2.62-2.70
Zn 0.5000 0.5713 0.6319  3 Ni 2.55-2.58, 2 Zn 2.62-2.70
Zn 0.5000 0.7665 0.2500  4 Ni 2.52-2.54, 2 Zn 2.62
Zn 0.5000 0.5713 0.8681  3 Ni 2.55-2.58, 2 Zn 2.62-2.70
Ni 0.0000 0.5435 0.2500  6 Zn 2.54-2.58, 3 Pa 2.82-2.83
Ni 0.5000 0.0485 0.3972  1 Ni 2.44, 2 Zn 2.52-2.55, 2 Pa 2.71
Ni 0.5000 0.0485 0.1028  1 Ni 2.44, 2 Zn 2.52-2.55, 2 Pa 2.71
Ni 0.0000 0.4565 0.7500  6 Zn 2.54-2.58, 3 Pa 2.82-2.83
Ni 0.5000 0.9515 0.6028  1 Ni 2.44, 2 Zn 2.52-2.55, 2 Pa 2.71
Ni 0.5000 0.9515 0.8972  1 Ni 2.44, 2 Zn 2.52-2.55, 2 Pa 2.71


# PaZn2Ni6

PaZn2Ni6 after structural relaxation (PBE, Alexandria via LeMat-Bulk).

* calculated density: 9.4 g/cm3
* E_tot: -47.17 eV per cell
* energy of formation: -0.0488 eV per atom

Lattice parameters (Å, degrees): 3.1935 7.1439 7.1439 53.01 77.08 77.08
Last column: nearest neighbours and their distance in Å.
Fractional positions:
Ni 0.6822 0.0074 0.6281  4 Ni 2.40-2.44, 3 Zn 2.53-2.60
Ni 0.3178 0.9926 0.3719  4 Ni 2.40-2.44, 3 Zn 2.53-2.60
Ni 0.3178 0.3719 0.9926  4 Ni 2.40-2.44, 3 Zn 2.53-2.60
Ni 0.6822 0.6281 0.0074  4 Ni 2.40-2.44, 3 Zn 2.53-2.60
Ni 0.5000 0.3177 0.6823  3 Ni 2.32-2.40, 2 Pa 2.58
Ni 0.5000 0.6823 0.3177  3 Ni 2.32-2.40, 2 Pa 2.58
Pa 0.0000 0.0000 0.0000  4 Ni 2.58
Zn 0.1379 0.3621 0.3621  10 Ni 2.53-2.61
Zn 0.8621 0.6379 0.6379  10 Ni 2.53-2.61


# PaZn2Ni

PaZn2Ni after structural relaxation (PBE, Alexandria via LeMat-Bulk).

* calculated density: 10.7 g/cm3
* E_tot: -18.24 eV per cell
* energy of formation: -0.1031 eV per atom

Lattice parameters (Å, degrees): 3.0163 3.0163 7.1722 90.00 90.00 90.00
Last column: nearest neighbours and their distance in Å.
Fractional positions:
Zn 0.0000 0.0000 0.1872  4 Ni 2.52, 1 Zn 2.69
Zn 0.0000 0.0000 0.8128  4 Ni 2.52, 1 Zn 2.69
Pa 0.5000 0.5000 0.5000  4 Pa 3.02, 8 Zn 3.10
Ni 0.5000 0.5000 0.0000  8 Zn 2.52